No. 1
The following is a DFT calculation (GGA-PBE) of a relaxed PaSnRh4 crystal.

Cell and atoms, written as POSCAR:
```
PaSnRh4
1.0
4.5722 0.0000 0.0000
0.0001 5.3895 -0.1230
0.0001 -0.1139 5.3897
Rh Pa Sn
4 1 1
direct
0.5000 0.3257 0.6744 Rh
0.0000 0.1830 0.1830 Rh
0.5000 0.6743 0.3256 Rh
0.0000 0.8170 0.8170 Rh
0.0000 0.5000 0.5000 Pa
0.5000 0.0000 0.0000 Sn
```

Calculated values
ΔE_f: 0.096 eV per atom
Total magnetic moment: 0.0 Bohr magnetons per cell
Relative energy among the computed polymorphs: 16.17 kcal/mol of atoms
SG: Cmmm, No. 65


No. 2
The following is a DFT calculation (GGA-PBE) of a relaxed LiDyHfFe crystal.

Cell and atoms, written as POSCAR:
```
LiDyHfFe
1.0
4.6623 0.0000 0.0000
2.3312 4.0377 0.0000
2.3312 1.3459 3.8068
Fe Hf Li Dy
1 1 1 1
direct
0.2500 0.2500 0.2500 Fe
0.0000 0.0000 0.0000 Hf
0.7500 0.7500 0.7500 Li
0.5000 0.5000 0.5000 Dy
```

Calculated values
ΔE_f: 0.055 eV per atom
Total magnetic moment: 0.0 Bohr magnetons per cell
SG: F-43m, No. 216


No. 3
The following is a DFT calculation (GGA-PBE) of a relaxed LiNiIr2 crystal.

Cell and atoms, written as POSCAR:
```
LiNiIr2
1.0
4.6730 0.0035 0.0271
3.9016 2.5718 0.0271
0.7471 0.2244 4.3912
Ir Ni Li
2 1 1
direct
0.7406 0.7406 0.7841 Ir
0.9952 0.9952 0.9692 Ir
0.2603 0.2603 0.2799 Ni
0.5038 0.5038 0.4668 Li
```

Calculated values
ΔE_f: -0.073 eV per atom
Total magnetic moment: 0.0 Bohr magnetons per cell
Relative energy among the computed polymorphs: 0.06 kcal/mol of atoms
SG: Cm, No. 8


No. 4
The following is a DFT calculation (GGA-PBE) of a relaxed NbNi3Au crystal.

Cell and atoms, written as POSCAR:
```
NbNi3Au
1.0
-0.5483 -2.5307 3.6864
0.4833 -3.7257 -2.4858
4.4452 0.0930 0.7249
Ni Nb Au
3 1 1
direct
0.0000 0.5000 0.0000 Ni
0.5000 0.0000 0.0000 Ni
0.0000 0.0000 0.5000 Ni
0.0000 0.0000 0.0000 Nb
0.5000 0.5000 0.5000 Au
```

Calculated values
ΔE_f: 1.254 eV per atom
Total magnetic moment: 0.0 Bohr magnetons per cell
Relative energy among the computed polymorphs: 0.00 kcal/mol of atoms
SG: Pm-3m, No. 221


No. 5
The following is a DFT calculation (GGA-PBE) of a relaxed HfGaCu2H crystal.

Cell and atoms, written as POSCAR:
```
HfGaCu2H
1.0
4.0163 0.0000 0.0000
0.0000 4.0163 0.0000
0.0000 0.0000 3.9697
H Hf Cu Ga
1 1 2 1
direct
0.0000 0.0000 0.0000 H
0.0000 0.0000 0.5000 Hf
0.0000 0.5000 0.0000 Cu
0.5000 0.0000 0.0000 Cu
0.5000 0.5000 0.5000 Ga
```

Calculated values
Total magnetic moment: 0.0 Bohr magnetons per cell
Relative energy among the computed polymorphs: 0.00 kcal/mol of atoms
SG: P4/mmm, No. 123


No. 6
The following is a DFT calculation (GGA-PBE) of a relaxed PrGdS crystal.

Cell and atoms, written as POSCAR:
```
PrGdS
1.0
6.4798 0.0000 0.0000
0.0000 3.9243 0.0000
0.0000 -1.9622 3.3986
Pr S Gd
1 1 1
direct
0.5994 0.6667 0.3333 Pr
0.3241 0.3333 0.6667 S
0.0764 0.0000 0.0000 Gd
```

Calculated values
Total magnetic moment: 8.3 Bohr magnetons per cell
Formation energy (no corrections): -1264 meV/atom
SG: P3m1, No. 156


No. 7
The following is a DFT calculation (GGA-PBE) of a relaxed SrAs3Rh4 crystal.

Cell and atoms, written as POSCAR:
```
SrAs3Rh4
1.0
4.0875 0.0000 0.0000
0.0000 4.0875 0.0000
0.0000 0.0000 8.8289
Rh As Sr
4 3 1
direct
0.0000 0.5000 0.1664 Rh
0.5000 0.0000 0.1664 Rh
0.5000 0.0000 0.8336 Rh
0.0000 0.5000 0.8336 Rh
0.5000 0.5000 0.3193 As
0.0000 0.0000 0.0000 As
0.5000 0.5000 0.6807 As
0.0000 0.0000 0.5000 Sr
```

Calculated values
ΔE_f: -0.682 eV per atom
Total magnetic moment: 0.0 Bohr magnetons per cell
SG: P4/mmm, No. 123


No. 8
The following is a DFT calculation (GGA-PBE) of a relaxed Zn2SbCl crystal.

Cell and atoms, written as POSCAR:
```
Zn2SbCl
1.0
6.8022 -0.0020 -0.0641
6.0800 3.0502 -0.0641
-1.5650 -0.3703 4.4615
Cl Sb Zn
1 1 2
direct
0.7500 0.7500 0.7500 Cl
0.2500 0.2500 0.2500 Sb
0.0203 0.0203 0.0181 Zn
0.4797 0.4797 0.4819 Zn
```

Calculated values
Total magnetic moment: 0.0 Bohr magnetons per cell
Formation energy (no corrections): 82 meV/atom
Relative energy among the computed polymorphs: 9.91 kcal/mol of atoms
SG: C2/m, No. 12


No. 9
The following is a DFT calculation (GGA-PBE) of a relaxed KSrY2 crystal.

Cell and atoms, written as POSCAR:
```
KSrY2
1.0
7.1900 0.0018 0.0000
3.4013 6.3346 0.0000
-5.2956 -3.1682 3.6898
Y K Sr
2 1 1
direct
0.5000 0.5000 0.0000 Y
0.0000 0.0000 0.0000 Y
0.2500 0.7500 0.5000 K
0.7500 0.2500 0.5000 Sr
```

Calculated values
ΔE_f: 0.495 eV per atom
Total magnetic moment: 1.4 Bohr magnetons per cell
Relative energy among the computed polymorphs: 6.71 kcal/mol of atoms
SG: I4/mmm, No. 139


No. 10
The following is a DFT calculation (GGA-PBE) of a relaxed MoPdPt2 crystal.

Cell and atoms, written as POSCAR:
```
MoPdPt2
1.0
-1.3813 -3.1888 1.7560
-0.0531 -3.3993 -1.8980
4.6017 -3.3433 1.8653
Mo Pd Pt
1 1 2
direct
0.5021 0.5021 0.4936 Mo
0.6652 0.6652 0.0044 Pd
0.2458 0.2458 0.2627 Pt
0.0869 0.0869 0.7393 Pt
```

Calculated values
ΔE_f: 0.248 eV per atom
Total magnetic moment: 0.0 Bohr magnetons per cell
Relative energy among the computed polymorphs: 8.06 kcal/mol of atoms
SG: R3m, No. 160


No. 11
The following is a DFT calculation (GGA-PBE) of a relaxed TbLuInOs crystal.

Cell and atoms, written as POSCAR:
```
TbLuInOs
1.0
5.0012 0.0000 0.0000
2.5006 4.3312 0.0000
2.5006 1.4437 4.0835
Tb In Os Lu
1 1 1 1
direct
0.2500 0.2500 0.2500 Tb
0.5000 0.5000 0.5000 In
0.0000 0.0000 0.0000 Os
0.7500 0.7500 0.7500 Lu
```

Calculated values
ΔE_f: -0.258 eV per atom
Total magnetic moment: 0.0 Bohr magnetons per cell
SG: F-43m, No. 216


No. 12
The following is a DFT calculation (GGA-PBE) of a relaxed DyYZnGe crystal.

Cell and atoms, written as POSCAR:
```
DyYZnGe
1.0
4.2082 0.0000 0.0000
0.0000 4.1126 0.0000
-2.1041 0.0000 5.4294
Y Zn Ge Dy
1 1 1 1
direct
0.1415 0.0000 0.2830 Y
0.5752 0.5000 0.1505 Zn
0.4234 0.0000 0.8468 Ge
0.8598 0.5000 0.7197 Dy
```

Calculated values
ΔE_f: -0.639 eV per atom
Total magnetic moment: 0.3 Bohr magnetons per cell
Relative energy among the computed polymorphs: 0.00 kcal/mol of atoms
SG: Amm2, No. 38


Let's list N(E_F) in order: 2.17 3.58 4.65 5.09 3.19 3.58 3.43 2.12 6.71 2.54 2.83 3.74 states/eV per cell.
Let's list energy in order: -7.055 -6.178 -6.428 -4.884 -5.043 -8.927 -6.312 -2.047 -3.432 -6.778 -6.038 -4.879 eV/atom.